Compound: K2CeHg2Se4
Source: Alexandria via LeMat-Bulk
Functional: PBE
Structure: relaxed

Properties
Crystal system: monoclinic
Final energy: -31.5 eV/cell
Total magnetic moment: 0.24 μB/cell

Cell: 8.750 8.750 8.459 Å, 114.80 114.80 27.83°
Positions (direct):
K  0.127  0.127  0.071
K  0.873  0.873  0.929
Ce  0.000  0.000  0.500
Hg  0.305  0.305  0.472
Hg  0.695  0.695  0.528
Se  0.181  0.181  0.740
Se  0.480  0.480  0.725
Se  0.520  0.520  0.275
Se  0.819  0.819  0.260

Compound: Tl2SnBiO6
Source: Alexandria via LeMat-Bulk
Functional: PBE
Structure: relaxed

Properties
Crystal system: trigonal
Final energy: -52.6 eV/cell
Total magnetic moment: 0.00 μB/cell

Cell: 6.245 6.245 6.245 Å, 55.61 55.61 55.61°
Positions (direct):
Tl  0.000  0.000  0.000
Tl  0.477  0.477  0.477
Sn  0.701  0.701  0.701
Bi  0.214  0.214  0.214
O  0.045  0.430  0.827
O  0.331  0.906  0.608
O  0.430  0.827  0.045
O  0.608  0.331  0.906
O  0.827  0.045  0.430
O  0.906  0.608  0.331

Compound: TbHoPt
Source: Alexandria via LeMat-Bulk
Functional: PBE
Structure: relaxed

Properties
Crystal system: trigonal
Energy of formation from the pure elements: -680 meV per atom
Final energy: -17.3 eV/cell
ΔE to the lowest computed polymorph: 0.2653 eV/atom
Total magnetic moment: 0.00 μB/cell

Cell: 4.625 4.625 4.165 Å, 90.00 90.00 120.00°
Positions (direct):
Tb  0.000  0.000  0.000
Ho  0.333  0.667  0.480
Pt  0.667  0.333  0.725

Compound: CsTiRe2Bi
Source: Alexandria via LeMat-Bulk
Functional: PBE
Structure: relaxed

Properties
Crystal system: tetragonal
Energy of formation from the pure elements: 1888 meV per atom
Final energy: -28.1 eV/cell
Total magnetic moment: 0.00 μB/cell

Cell: 4.788 4.788 5.559 Å, 90.00 90.00 90.00°
Positions (direct):
Cs  0.000  0.000  0.000
Ti  0.000  0.000  0.500
Re  0.000  0.500  0.500
Re  0.500  0.000  0.500
Bi  0.500  0.500  0.000

Compound: PrSm5Y
Source: Alexandria via LeMat-Bulk
Functional: PBE
Structure: relaxed

Properties
Crystal system: monoclinic
Energy of formation from the pure elements: 164 meV per atom
Final energy: -67.4 eV/cell
ΔE to the lowest computed polymorph: 0.0000 eV/atom
Total magnetic moment: 0.00 μB/cell

Cell: 8.987 8.987 10.849 Å, 123.21 123.21 43.54°
Positions (direct):
Pr  0.000  0.500  0.000
Pr  0.500  0.000  0.500
Sm  0.010  0.990  0.250
Sm  0.084  0.581  0.415
Sm  0.156  0.658  0.901
Sm  0.342  0.844  0.599
Sm  0.419  0.916  0.085
Sm  0.581  0.084  0.915
Sm  0.658  0.156  0.401
Sm  0.844  0.342  0.099
Sm  0.916  0.419  0.585
Sm  0.990  0.010  0.750
Y  0.487  0.513  0.250
Y  0.513  0.487  0.750